P) DFT (GGA-PBEsol) results for ScMo2W after structural relaxation.

The structure belongs to space group Imm2 (No. 44); the cell edges are 3.1349, 4.5506 and 9.0952 Å and the angles 90.00°, 90.00° and 90.00°. The distinct sites, in fractional coordinates, are Sc at (0.0000, 0.0000, 0.0000), Mo at (0.0000, 0.0000, 0.5039), Mo at (0.0000, 0.5000, 0.2394) and W at (0.0000, 0.5000, 0.7652).

***

Q) DFT (GGA-PBEsol) results for ScMo2W after structural relaxation.

The structure belongs to space group Pmmm (No. 47); the cell edges are 3.1307, 4.4629 and 4.6067 Å and the angles 90.00°, 90.00° and 90.00°. The distinct sites, in fractional coordinates, are Sc at (0.0000, 0.0000, 0.0000), Mo at (0.0000, 0.5000, 0.5000), Mo at (0.5000, 0.5000, 0.0000) and W at (0.5000, 0.0000, 0.5000).

***

Winner for stability: P)

***

P) DFT (GGA-PBEsol) results for ScMo2W after structural relaxation.

The structure belongs to space group P4mm (No. 99); the cell edges are 3.1369, 3.1369 and 6.7001 Å and the angles 90.00°, 90.00° and 90.00°. The distinct sites, in fractional coordinates, are Sc at (0.0000, 0.0000, 0.0000), Mo at (0.0000, 0.0000, 0.5021), Mo at (0.5000, 0.5000, 0.7260) and W at (0.5000, 0.5000, 0.2756).

***

Q) DFT (GGA-PBEsol) results for ScMo2W after structural relaxation.

The structure belongs to space group P2/m (No. 10); the cell edges are 2.7521, 4.4483 and 5.3634 Å and the angles 90.00°, 99.11° and 90.00°. The distinct sites, in fractional coordinates, are Sc at (0.0000, 0.0000, 0.0000), Mo at (0.2670, 0.5000, 0.7453) and W at (0.5000, 0.0000, 0.5000).

***

Winner for stability: Q)